DFT (PBE) results for crystalline Cs2LiSnI6 at its relaxed geometry. Values from VASP.

Calculated values
SG ... No. 166
Energy above the most stable polymorph in this dataset ... 0.0 meV per atom

```
&SYSTEM
  ibrav = 0, nat = 20, ntyp = 4
/
ATOMIC_SPECIES
Cs 132.91 Cs.upf
Li 6.94 Li.upf
Sn 118.71 Sn.upf
I 126.90 I.upf
CELL_PARAMETERS angstrom
-1.8882 8.0116 -1.9749
-6.6198 1.6788 -5.0011
-11.3905 4.0752 9.2815
ATOMIC_POSITIONS angstrom
Cs -11.5469 9.9906 -2.8528
Cs -8.3515 3.7750 5.1583
Cs -16.2061 10.4508 3.4689
Cs -3.6924 3.3147 -1.1634
Li -7.8338 6.6738 -1.7175
Li -12.0647 7.0917 4.0230
Sn 0.0000 0.0000 0.0000
Sn -9.9492 6.8828 1.1527
I -8.4367 9.1433 -0.0905
I -10.7758 6.0127 -1.5865
I -7.5033 5.1829 0.8858
I -11.4617 4.6222 2.3960
I -9.1227 7.7528 3.8920
I -12.3951 8.5827 1.4197
I -12.6934 9.5484 5.6798
I -15.0174 6.4379 4.1934
I -11.7660 5.6133 6.6499
I -7.2051 4.2172 -3.3744
I -4.8810 7.3277 -1.8880
I -8.1325 8.1523 -4.3444
```

---

DFT (PBE) results for crystalline Cs3Li2SnI9 at its relaxed geometry. Values from VASP.

Calculated values
SG ... No. 164

```
&SYSTEM
  ibrav = 0, nat = 15, ntyp = 4
/
ATOMIC_SPECIES
Cs 132.91 Cs.upf
Li 6.94 Li.upf
Sn 118.71 Sn.upf
I 126.90 I.upf
CELL_PARAMETERS angstrom
8.6272 0.0000 0.0000
-4.3136 7.4714 0.0000
0.0000 0.0000 10.5439
ATOMIC_POSITIONS angstrom
Cs 0.0000 4.9809 7.1902
Cs 0.0000 0.0000 0.0000
Cs 4.3136 2.4904 3.3537
Li 0.0000 4.9809 0.9615
Li 4.3136 2.4904 9.5824
Sn 0.0000 0.0000 5.2720
I 6.5653 1.1904 6.9533
I 4.3136 5.0905 6.9533
I 2.0619 1.1904 6.9533
I 2.2517 6.2809 3.5906
I 0.0000 2.3809 3.5906
I -2.2517 6.2809 3.5906
I 4.3136 0.0000 0.0000
I -2.1568 3.7357 0.0000
I 2.1568 3.7357 0.0000
```

---

DFT (PBE) results for crystalline Cs4LiSn3I12 at its relaxed geometry. Values from VASP.

Calculated values
SG ... No. 229

```
&SYSTEM
  ibrav = 0, nat = 20, ntyp = 4
/
ATOMIC_SPECIES
Cs 132.91 Cs.upf
Li 6.94 Li.upf
Sn 118.71 Sn.upf
I 126.90 I.upf
CELL_PARAMETERS angstrom
-5.4302 3.9644 8.2542
-1.5374 -10.5208 -0.5353
10.3755 2.0094 1.2837
ATOMIC_POSITIONS angstrom
Cs 1.7039 -2.2735 4.5013
Cs 5.1877 1.0047 0.6419
Cs -2.7151 1.9822 4.1271
Cs -0.7687 -5.2604 -0.2676
Li 0.0000 0.0000 0.0000
Sn 2.4726 2.9869 4.7690
Sn -3.4838 -3.2782 3.8595
Sn 4.4191 -4.2557 0.3742
I 5.6554 -2.7622 2.7587
I 3.7172 4.4904 7.1694
I 1.2281 1.4835 2.3686
I -2.2475 -1.7847 6.2440
I -5.2373 -4.9282 5.8021
I -1.7303 -1.6281 1.9168
I 0.7307 1.3478 6.6987
I 2.6772 -5.8947 2.3040
I 4.6822 0.8591 4.9561
I 6.6434 -6.3977 0.5626
I -1.2743 -5.4060 4.0466
I 2.1948 -2.1136 0.1859
```

---

DFT (PBE) results for crystalline CsLiSnI6 at its relaxed geometry. Values from VASP.

Calculated values
SG ... No. 149

```
&SYSTEM
  ibrav = 0, nat = 9, ntyp = 4
/
ATOMIC_SPECIES
Cs 132.91 Cs.upf
Li 6.94 Li.upf
Sn 118.71 Sn.upf
I 126.90 I.upf
CELL_PARAMETERS angstrom
-5.6389 -0.8179 5.0735
-2.7783 -6.9375 1.5357
5.9249 -0.9437 6.4385
ATOMIC_POSITIONS angstrom
Cs 5.9246 -0.9440 6.4386
Li -2.6481 -5.6413 7.6245
Sn 0.1565 -3.0573 5.4224
I 0.7819 -2.8229 2.5801
I 2.0240 -0.9947 6.3071
I -0.4664 -3.6931 8.2027
I 2.3107 -5.0259 5.4476
I -1.9721 -4.9565 4.8025
I -1.7377 -0.8491 5.1929
```

---

| no. | energy (hartree per atom) | calculated density (g/cm3) | raw formation energy (eV per atom) |
| --- | --- | --- | --- |
| 1 | -0.099 | 4.272 | -1.01 |
| 2 | -0.098 | 4.089 | -1.03 |
| 3 | -0.102 | 4.322 | -0.97 |
| 4 | -0.094 | 3.819 | -0.76 |